Density functional theory data (PBE) for crystalline Ta2AgBi at its relaxed geometry.

```
data_Ta2AgBi
_space_group_name_H-M_alt 'I -4 2 d'
_space_group_IT_number 122
_space_group_name_Hall 'I -4 2bw'
_cell_length_a 4.043
_cell_length_b 4.043
_cell_length_c 21.130
_cell_angle_alpha 90.00
_cell_angle_beta 90.00
_cell_angle_gamma 90.00
loop_
_atom_site_label
_atom_site_fract_x
_atom_site_fract_y
_atom_site_fract_z
Ta1 0.250 0.250 0.125
Ag1 0.000 0.000 0.000
Bi1 0.000 0.000 0.500
```

Raw total energy: -6.852 eV/atom
Formation energy: 0.7574 eV/atom